Record 1
First-principles (PBE-GGA) data for a relaxed structure of Nb5OsW2, as listed in Alexandria.

## Properties
The calculation puts the formation energy at -158 meV/atom.

Cell: 4.585 4.585 12.977 Å, 90.00 90.00 90.00°
Space group I4/mmm (No. 139)
One atom of each set of equivalent atoms:
1 Nb 0.000 0.000 0.000 (multiplicity 2)
2 Nb 0.000 0.500 0.125 (multiplicity 8)
3 Os 0.000 0.000 0.500 (multiplicity 2)
4 W 0.000 0.000 0.248 (multiplicity 4)

Record 2
First-principles (PBE-GGA) data for a relaxed structure of Sm3Y2Au2, as listed in Alexandria.

## Properties
The calculation puts the formation energy at -477 meV/atom.

Cell: 12.694 3.803 9.240 Å, 90.00 114.59 90.00°
Space group C2/m (No. 12)
One atom of each set of equivalent atoms:
1 Sm 0.000 0.000 0.000 (multiplicity 2)
2 Sm 0.113 0.000 0.444 (multiplicity 4)
3 Y 0.152 0.500 0.811 (multiplicity 4)
4 Au 0.172 0.500 0.224 (multiplicity 4)

no.,raw total energy (eV/atom)
1,-11.09
2,-5.28